4
Lattice="5.456 0.000 0.000 0.000 5.456 0.000 0.000 0.000 3.033" Properties=species:S:1:pos:R:3 comment="SiAgSb2 (PBE, optimized geometry)" dos_ef_per_ev_atom=0.325 magnetic_moment_mub_per_cell=0.0 e_tot_ev_per_atom=-3.77 raw_formation_energy_ev_per_atom=0.362 mass_density_g_cm3=7.0 pbc="T T T"
Si 0.000 0.000 0.000
Ag 2.728 2.728 0.000
Sb 0.000 2.728 1.517
Sb 2.728 0.000 1.517